Record 1
Computed, not measured: a relaxed structure of Th4CdC2 at the PBE level of DFT.

CIF file:
```
data_Th4CdC2
_chemical_formula_sum 'Th8 Cd2 C4'
_cell_length_a 6.737
_cell_length_b 6.737
_cell_length_c 13.699
_cell_angle_alpha 90.00
_cell_angle_beta 90.00
_cell_angle_gamma 147.17
_space_group_name_H-M_alt 'P 1'
_space_group_IT_number 1
_space_group_name_Hall 'P 1'
loop_
_atom_site_label
_atom_site_type_symbol
_atom_site_fract_x
_atom_site_fract_y
_atom_site_fract_z
Th1 Th 0.000 0.000 0.000
Th2 Th 0.000 0.000 0.500
Th3 Th 0.264 0.736 0.602
Th4 Th 0.264 0.736 0.898
Th5 Th 0.412 0.588 0.250
Th6 Th 0.588 0.412 0.750
Th7 Th 0.736 0.264 0.102
Th8 Th 0.736 0.264 0.398
Cd1 Cd 0.107 0.893 0.250
Cd2 Cd 0.893 0.107 0.750
C1 C 0.364 0.636 0.062
C2 C 0.364 0.636 0.438
C3 C 0.636 0.364 0.562
C4 C 0.636 0.364 0.938
```

Properties
The energy relative to the lowest polymorph listed for this composition comes out at 30.8 meV/atom. The calculation puts the calculated formation energy at -0.17 eV per atom.

=====

Record 2
Computed, not measured: a relaxed structure of ZrSc3Co at the PBE level of DFT.

CIF file:
```
data_ZrSc3Co
_chemical_formula_sum 'Zr2 Sc6 Co2'
_cell_length_a 8.672
_cell_length_b 8.672
_cell_length_c 7.516
_cell_angle_alpha 102.48
_cell_angle_beta 102.48
_cell_angle_gamma 21.69
_space_group_name_H-M_alt 'P 1'
_space_group_IT_number 1
_space_group_name_Hall 'P 1'
loop_
_atom_site_label
_atom_site_type_symbol
_atom_site_fract_x
_atom_site_fract_y
_atom_site_fract_z
Zr1 Zr 0.092 0.092 0.050
Zr2 Zr 0.908 0.908 0.950
Sc1 Sc 0.305 0.305 0.189
Sc2 Sc 0.322 0.322 0.612
Sc3 Sc 0.495 0.495 0.300
Sc4 Sc 0.505 0.505 0.700
Sc5 Sc 0.678 0.678 0.388
Sc6 Sc 0.695 0.695 0.811
Co1 Co 0.102 0.102 0.560
Co2 Co 0.898 0.898 0.440
```

Properties
The energy relative to the lowest polymorph listed for this composition comes out at 0.0 meV/atom. The calculation puts the calculated formation energy at -0.13 eV per atom.

=====

Record 3
Computed, not measured: a relaxed structure of BeBiHPbN at the PBE level of DFT.

CIF file:
```
data_BeBiHPbN
_chemical_formula_sum 'Be1 Bi1 H1 Pb1 N1'
_cell_length_a 4.759
_cell_length_b 4.759
_cell_length_c 7.406
_cell_angle_alpha 104.00
_cell_angle_beta 104.00
_cell_angle_gamma 38.17
_space_group_name_H-M_alt 'P 1'
_space_group_IT_number 1
_space_group_name_Hall 'P 1'
loop_
_atom_site_label
_atom_site_type_symbol
_atom_site_fract_x
_atom_site_fract_y
_atom_site_fract_z
Be1 Be 0.000 0.000 0.000
Bi1 Bi 0.744 0.744 0.697
H1 H 0.652 0.652 0.135
Pb1 Pb 0.424 0.424 0.406
N1 N 0.542 0.542 0.048
```

Properties
The energy relative to the lowest polymorph listed for this composition comes out at 6.6 meV/atom.

=====

Record 4
Computed, not measured: a relaxed structure of Sr2ReP at the PBE level of DFT.

CIF file:
```
data_Sr2ReP
_chemical_formula_sum 'Sr2 Re1 P1'
_cell_length_a 9.584
_cell_length_b 9.584
_cell_length_c 9.584
_cell_angle_alpha 21.33
_cell_angle_beta 21.33
_cell_angle_gamma 21.33
_space_group_name_H-M_alt 'P 1'
_space_group_IT_number 1
_space_group_name_Hall 'P 1'
loop_
_atom_site_label
_atom_site_type_symbol
_atom_site_fract_x
_atom_site_fract_y
_atom_site_fract_z
Sr1 Sr 0.245 0.245 0.245
Sr2 Sr 0.755 0.755 0.755
Re1 Re 0.000 0.000 0.000
P1 P 0.500 0.500 0.500
```

Properties
The calculation puts the calculated formation energy at 0.73 eV per atom.

=====

Record 5
Computed, not measured: a relaxed structure of KAg5 at the PBE level of DFT.

CIF file:
```
data_KAg5
_chemical_formula_sum 'K1 Ag5'
_cell_length_a 4.726
_cell_length_b 9.642
_cell_length_c 9.642
_cell_angle_alpha 18.19
_cell_angle_beta 90.00
_cell_angle_gamma 90.00
_space_group_name_H-M_alt 'P 1'
_space_group_IT_number 1
_space_group_name_Hall 'P 1'
loop_
_atom_site_label
_atom_site_type_symbol
_atom_site_fract_x
_atom_site_fract_y
_atom_site_fract_z
K1 K 0.000 0.000 0.000
Ag1 Ag 0.000 0.305 0.305
Ag2 Ag 0.000 0.672 0.672
Ag3 Ag 0.500 0.135 0.135
Ag4 Ag 0.500 0.391 0.391
Ag5 Ag 0.500 0.764 0.764
```

Properties
The calculation puts the calculated formation energy at 0.11 eV per atom.

=====

Record 6
Computed, not measured: a relaxed structure of NdHo7Cd2 at the PBE level of DFT.

CIF file:
```
data_NdHo7Cd2
_chemical_formula_sum 'Nd1 Ho7 Cd2'
_cell_length_a 8.872
_cell_length_b 8.872
_cell_length_c 5.376
_cell_angle_alpha 90.00
_cell_angle_beta 90.00
_cell_angle_gamma 119.00
_space_group_name_H-M_alt 'P 1'
_space_group_IT_number 1
_space_group_name_Hall 'P 1'
loop_
_atom_site_label
_atom_site_type_symbol
_atom_site_fract_x
_atom_site_fract_y
_atom_site_fract_z
Nd1 Nd 0.000 0.000 0.000
Ho1 Ho 0.061 0.302 0.500
Ho2 Ho 0.234 0.766 0.000
Ho3 Ho 0.302 0.061 0.500
Ho4 Ho 0.500 0.500 0.500
Ho5 Ho 0.698 0.939 0.500
Ho6 Ho 0.766 0.234 0.000
Ho7 Ho 0.939 0.698 0.500
Cd1 Cd 0.303 0.697 0.500
Cd2 Cd 0.697 0.303 0.500
```

Properties
The calculation puts the calculated formation energy at 0.42 eV per atom.

=====

One value per record, in order, for total magnetic moment: 0.00 0.00 0.00 0.32 0.00 0.28 μB/atom.
One value per record, in order, for total energy: -7.1786 -7.0571 -4.6957 -4.5768 -2.4483 -3.4473 eV/atom.